Below is crystalline LaNb2Ge2 at its relaxed geometry, with properties calculated at the GGA-PBE level.

The space group is I4/mmm (No. 139) and the conventional cell measures 4.1410, 4.1410 and 12.2743 Å, with angles of 90.00, 90.00 and 90.00 degrees. The distinct sites, in fractional coordinates, are La at (0.0000, 0.0000, 0.0000), Nb at (0.0000, 0.5000, 0.2500) and Ge at (0.0000, 0.0000, 0.3931).

The total magnetic moment is 0.0 Bohr magnetons per cell. The distance to the lowest polymorph of the same formula is 0.0000 eV/atom. The energy relative to the elements is -616 meV per atom. The total energy is -0.550 Ry per atom. The value obtained for the volume is 210.5 Å³ per cell. The density of states at the Fermi level comes out at 2.82 states/eV/f.u.